No. 1
# GdZn4Rh

A relaxed GdZn4Rh crystal (PBE-GGA, Alexandria).

Cell and atoms, written as extended XYZ:
```
6
Lattice="-0.340 -4.842 1.742 4.145 -3.066 -0.079 2.315 -1.320 4.415" Properties=species:S:1:pos:R:3 pbc="T T T"
Zn 4.006 -3.332 2.926
Zn 2.663 -5.113 1.575
Zn 1.738 -4.230 3.847
Zn 3.834 -5.780 3.807
Rh 0.000 0.000 0.000
Gd 1.530 -2.307 1.519
```

## Properties
* symmetry: F-43m (216)
* raw total energy: -29.16 eV per formula unit
* calculated formation energy: -0.4381 eV per atom

***

No. 2
# Tb2Al3Mo

A relaxed Tb2Al3Mo crystal (PBE-GGA, Alexandria).

Cell and atoms, written as extended XYZ:
```
6
Lattice="4.960 -0.152 -2.609 -3.154 4.629 -0.234 -0.266 0.099 5.507" Properties=species:S:1:pos:R:3 pbc="T T T"
Tb -0.945 2.957 4.057
Tb 2.485 1.619 -1.393
Al 2.347 -0.026 1.449
Al -0.133 0.049 2.754
Al 0.770 2.288 1.332
Mo 0.000 0.000 0.000
```

## Properties
* symmetry: R-3m (166)
* raw total energy: -33.63 eV per formula unit
* calculated formation energy: -0.3846 eV per atom

***

No. 3
# ThMgPt2

A relaxed ThMgPt2 crystal (PBE-GGA, Alexandria).

Cell and atoms, written as extended XYZ:
```
4
Lattice="3.482 0.000 0.000 0.000 3.482 0.000 0.000 0.000 6.707" Properties=species:S:1:pos:R:3 pbc="T T T"
Pt 0.000 0.000 1.482
Pt 0.000 0.000 5.224
Th 1.741 1.741 3.353
Mg 1.741 1.741 0.000
```

## Properties
* symmetry: P4/mmm (123)
* raw total energy: -24.81 eV per formula unit
* calculated formation energy: -0.9290 eV per atom

***

No. 4
# Tl2BiRuO6

A relaxed Tl2BiRuO6 crystal (PBE-GGA, Alexandria).

Cell and atoms, written as extended XYZ:
```
20
Lattice="6.352 0.000 0.000 3.176 5.501 0.000 3.176 1.834 9.671" Properties=species:S:1:pos:R:3 pbc="T T T"
O 7.672 4.430 6.030
O 4.496 2.596 8.515
O 8.208 4.739 1.157
O 6.352 1.525 1.157
O 6.352 5.192 3.641
O 4.496 4.739 1.157
O 6.352 5.810 8.515
O 5.032 2.905 3.641
O 8.208 2.596 8.515
O 5.032 4.430 6.030
O 6.352 2.143 6.030
O 7.672 2.905 3.641
Ru 0.000 0.000 0.000
Ru 6.352 3.667 4.836
Tl 3.176 1.834 2.091
Tl 9.528 5.501 3.568
Tl 9.528 5.501 7.581
Tl 3.176 1.834 6.104
Bi 6.352 3.667 1.842
Bi 6.352 3.667 7.829
```

## Properties
* ΔE_f (raw): -0.75 eV per atom
* symmetry: R-3m (166)
* raw total energy: -55.16 eV per formula unit

***

No. 5
# Tb5Dy12Th2

A relaxed Tb5Dy12Th2 crystal (PBE-GGA, Alexandria).

Cell and atoms, written as extended XYZ:
```
19
Lattice="9.358 0.000 0.000 -4.679 11.188 -1.879 0.000 -5.203 6.825" Properties=species:S:1:pos:R:3 pbc="T T T"
Dy 0.000 8.775 -0.196
Dy 6.475 -0.183 3.549
Dy -1.796 6.168 1.396
Dy 3.010 2.937 5.111
Dy 4.679 5.709 3.348
Dy 0.000 0.276 1.597
Dy 2.883 -0.183 3.549
Dy 1.670 3.048 -0.166
Dy -3.010 2.937 5.111
Dy 4.679 -2.790 5.142
Dy 1.796 6.168 1.396
Dy 7.689 3.048 -0.166
Tb 4.679 2.537 1.832
Tb 0.000 -2.602 3.412
Tb 4.679 5.441 -0.266
Tb 0.000 3.448 3.114
Tb 0.000 0.544 5.212
Th 3.058 0.000 0.000
Th 6.300 0.000 0.000
```

## Properties
* symmetry: C2/m (12)
* energy above the most stable polymorph in this dataset: 0.56 eV/f.u.
* raw total energy: -90.38 eV per formula unit
* calculated formation energy: 0.1490 eV per atom

***

No. 6
# MgNp2Ge4Pt3

A relaxed MgNp2Ge4Pt3 crystal (PBE-GGA, Alexandria).

Cell and atoms, written as extended XYZ:
```
10
Lattice="4.218 0.000 0.000 0.000 4.218 0.000 0.000 0.000 10.845" Properties=species:S:1:pos:R:3 pbc="T T T"
Np 0.000 2.109 8.176
Np 2.109 0.000 2.668
Pt 0.000 2.109 1.382
Pt 0.000 0.000 5.422
Pt 2.109 0.000 9.463
Ge 0.000 2.109 3.835
Ge 2.109 0.000 7.010
Ge 0.000 0.000 0.000
Ge 2.109 2.109 0.000
Mg 2.109 2.109 5.422
```

## Properties
* symmetry: P-4m2 (115)
* raw total energy: -68.94 eV per formula unit
* calculated formation energy: -0.4873 eV per atom

***

No. 7
# K2US2Cl2

A relaxed K2US2Cl2 crystal (PBE-GGA, Alexandria).

Cell and atoms, written as extended XYZ:
```
7
Lattice="-2.150 -1.821 4.477 -2.783 -3.541 -2.776 8.446 -2.589 -0.123" Properties=species:S:1:pos:R:3 pbc="T T T"
Cl 2.034 -1.792 0.247
Cl 1.480 -6.159 1.330
S -1.391 -1.770 -1.388
S -1.075 -0.911 2.239
K -0.878 -4.080 1.044
K 4.392 -3.870 0.534
U 0.000 0.000 0.000
```

## Properties
* ΔE_f (raw): -1.63 eV per atom
* symmetry: I4/mmm (139)
* raw total energy: -36.84 eV per formula unit

***

No. 8
# SrVAg2

A relaxed SrVAg2 crystal (PBE-GGA, Alexandria).

Cell and atoms, written as extended XYZ:
```
4
Lattice="0.000 3.613 3.613 3.613 0.000 3.613 3.613 3.613 0.000" Properties=species:S:1:pos:R:3 pbc="T T T"
Ag 1.807 1.807 1.807
Ag 5.420 5.420 5.420
Sr 3.613 3.613 3.613
V 0.000 0.000 0.000
```

## Properties
* symmetry: Fm-3m (225)
* energy above the most stable polymorph in this dataset: 0.00 eV/f.u.
* raw total energy: -15.16 eV per formula unit
* calculated formation energy: 0.3362 eV per atom

***

No. 9
# Sm4ErMg

A relaxed Sm4ErMg crystal (PBE-GGA, Alexandria).

Cell and atoms, written as extended XYZ:
```
6
Lattice="5.641 0.000 0.000 0.000 6.365 0.011 0.000 0.022 6.365" Properties=species:S:1:pos:R:3 pbc="T T T"
Sm 2.820 2.102 4.282
Sm 2.820 4.285 2.094
Sm 5.641 1.132 1.131
Sm 0.000 5.255 5.246
Er 2.820 0.000 0.000
Mg 0.000 3.194 3.188
```

## Properties
* symmetry: Cmmm (65)
* energy above the most stable polymorph in this dataset: 4.37 eV/f.u.
* raw total energy: -20.77 eV per formula unit
* calculated formation energy: 0.7100 eV per atom

***

No. 10
# Ac4HPt3

A relaxed Ac4HPt3 crystal (PBE-GGA, Alexandria).

Cell and atoms, written as extended XYZ:
```
8
Lattice="-4.038 0.123 -1.644 -2.733 -2.571 6.521 -1.652 5.804 4.492" Properties=species:S:1:pos:R:3 pbc="T T T"
Pt -4.039 0.123 -1.643
Pt -6.231 1.739 3.863
Pt -5.578 0.395 7.945
H -5.041 4.569 6.933
Ac -4.486 -0.412 5.205
Ac -5.131 0.957 1.104
Ac -7.330 2.530 6.621
Ac -3.938 3.768 4.166
```

## Properties
* symmetry: Amm2 (38)
* raw total energy: -45.69 eV per formula unit

***

No. 11
# KYZr

A relaxed KYZr crystal (PBE-GGA, Alexandria).

Cell and atoms, written as extended XYZ:
```
6
Lattice="14.609 0.000 -0.005 2.671 2.561 -3.536 -2.671 2.561 3.536" Properties=species:S:1:pos:R:3 pbc="T T T"
Zr 9.973 2.561 -3.275
Zr 7.496 2.561 2.260
Y 12.413 2.561 -1.432
Y 9.238 2.561 -0.127
K 4.417 2.561 -0.073
K -1.799 2.561 2.583
```

## Properties
* symmetry: Cm (8)
* energy above the most stable polymorph in this dataset: 0.92 eV/f.u.
* raw total energy: -14.70 eV per formula unit
* calculated formation energy: 0.4714 eV per atom

***

No. 12
# ErGe2Au

A relaxed ErGe2Au crystal (PBE-GGA, Alexandria).

Cell and atoms, written as extended XYZ:
```
4
Lattice="-3.568 -1.694 -1.120 1.931 -3.932 -0.208 -0.987 -0.708 4.214" Properties=species:S:1:pos:R:3 pbc="T T T"
Ge 0.966 -1.966 -0.104
Ge -0.493 -0.354 2.107
Er -1.312 -3.166 1.443
Au -1.784 -0.847 -0.560
```

## Properties
* symmetry: P4/mmm (123)
* energy above the most stable polymorph in this dataset: 0.00 eV/f.u.
* raw total energy: -19.04 eV per formula unit
* calculated formation energy: -0.4912 eV per atom

***

Which value of raw total energy does entry 1 give? -29.16 eV per formula unit

***

What is the raw total energy in the eleventh record? -14.70 eV per formula unit